[1]
Here is an optimized crystal structure of MnHg3H from Alexandria via LeMat-Bulk. Energies are from GGA-PBE.

Cell and atoms, written as CIF:
```
data_MnHg3H
_chemical_formula_sum 'Mn1 Hg3 H1'
_space_group_name_H-M_alt 'P m -3 m'
_space_group_IT_number 221
_space_group_name_Hall '-P 4 2 3'
_cell_length_a 5.2935
_cell_length_b 5.2935
_cell_length_c 5.2935
_cell_angle_alpha 90.00
_cell_angle_beta 90.00
_cell_angle_gamma 90.00
loop_
_atom_site_label
_atom_site_type_symbol
_atom_site_fract_x
_atom_site_fract_y
_atom_site_fract_z
Mn1 Mn 0.0000 0.0000 0.0000
Hg1 Hg 0.0000 0.0000 0.5000
H1 H 0.5000 0.5000 0.5000
```

- Total magnetization: 4.635 μB/f.u.
- Polymorph energy (0 for the lowest one): 140.3 meV per atom
- Electronic total energy: -1.9432 eV per atom
- Density of states at the Fermi level: 3.9 states/eV per cell
- Calculated volume: 148.3 Å³/cell

***

[2]
Here is an optimized crystal structure of MnHg2H from Alexandria via LeMat-Bulk. Energies are from GGA-PBE.

Cell and atoms, written as CIF:
```
data_MnHg2H
_chemical_formula_sum 'Mn4 Hg8 H4'
_space_group_name_H-M_alt 'F m -3 m'
_space_group_IT_number 225
_space_group_name_Hall '-F 4 2 3'
_cell_length_a 6.5190
_cell_length_b 6.5190
_cell_length_c 6.5190
_cell_angle_alpha 90.00
_cell_angle_beta 90.00
_cell_angle_gamma 90.00
loop_
_atom_site_label
_atom_site_type_symbol
_atom_site_fract_x
_atom_site_fract_y
_atom_site_fract_z
Mn1 Mn 0.0000 0.0000 0.0000
Hg1 Hg 0.2500 0.2500 0.2500
H1 H 0.0000 0.0000 0.5000
```

- Total magnetization: 4.517 μB/f.u.
- Polymorph energy (0 for the lowest one): 149.4 meV per atom
- Electronic total energy: -2.5886 eV per atom
- Density of states at the Fermi level: 8.6 states/eV per cell
- Calculated volume: 277.0 Å³/cell